Entry from the Alexandria database: crystalline AcTmMo2N6 at its relaxed geometry (PBE).

Output
VASP energy = -177.17 eV for the cell shown
D(E_F) = 0.00 states/eV/atom
formation energy (no corrections) = -0.839 eV/atom

```
AcTmMo2N6
1.0
5.740 -4.983 0.000
5.740 4.983 0.000
-2.757 0.000 6.040
Ac Tm Mo N
2 2 4 12
Direct
0.100 0.900 0.750 Ac
0.900 0.100 0.250 Ac
0.292 0.708 0.250 Tm
0.708 0.292 0.750 Tm
0.208 0.375 0.808 Mo
0.375 0.208 0.308 Mo
0.625 0.792 0.692 Mo
0.792 0.625 0.192 Mo
0.003 0.762 0.322 N
0.143 0.617 0.871 N
0.238 0.997 0.178 N
0.323 0.364 0.105 N
0.364 0.323 0.605 N
0.383 0.857 0.629 N
0.617 0.143 0.371 N
0.636 0.677 0.395 N
0.677 0.636 0.895 N
0.762 0.003 0.822 N
0.857 0.383 0.129 N
0.997 0.238 0.678 N
```